# RbAuICl2 | the Alexandria database | GGA-PBE | relaxed
# Space-group type ... P4/mmm, No. 123
# D(E_F) ... 1.3 states/eV per cell
# Density ... 5.088 g/cm³
# E ... -13.55 eV per cell
data_RbAuICl2
_chemical_formula_sum 'Rb1 Au1 I1 Cl2'
_symmetry_space_group_name_H-M 'P 1'
_symmetry_Int_Tables_number 1
_cell_length_a 5.2728
_cell_length_b 5.2728
_cell_length_c 5.6375
_cell_angle_alpha 90.00
_cell_angle_beta 90.00
_cell_angle_gamma 90.00
loop_
_symmetry_equiv_pos_as_xyz
'x,y,z'
loop_
_atom_site_label
_atom_site_type_symbol
_atom_site_fract_x
_atom_site_fract_y
_atom_site_fract_z
Rb1 Rb 0.0000 0.0000 0.0000
Au1 Au 0.5000 0.5000 0.5000
I1 I 0.5000 0.5000 0.0000
Cl1 Cl 0.0000 0.5000 0.5000
Cl2 Cl 0.5000 0.0000 0.5000

---

# MnIn2Ag | the Alexandria database | GGA-PBE | relaxed
# Space-group type ... F-43m, No. 216
# D(E_F) ... 2.4 states/eV per cell
# Offset from the most stable computed form ... 0.141 eV per atom
# Density ... 7.900 g/cm³
data_MnIn2Ag
_chemical_formula_sum 'Mn1 In2 Ag1'
_symmetry_space_group_name_H-M 'P 1'
_symmetry_Int_Tables_number 1
_cell_length_a 4.8861
_cell_length_b 4.8861
_cell_length_c 4.8861
_cell_angle_alpha 60.00
_cell_angle_beta 60.00
_cell_angle_gamma 60.00
loop_
_symmetry_equiv_pos_as_xyz
'x,y,z'
loop_
_atom_site_label
_atom_site_type_symbol
_atom_site_fract_x
_atom_site_fract_y
_atom_site_fract_z
Mn1 Mn 0.0000 0.0000 0.0000
In1 In 0.5000 0.5000 0.5000
In2 In 0.7500 0.7500 0.7500
Ag1 Ag 0.2500 0.2500 0.2500

---

# YTmGaPd | the Alexandria database | GGA-PBE | relaxed
# Space-group type ... F-43m, No. 216
# D(E_F) ... 3.4 states/eV per cell
# Offset from the most stable computed form ... 0.038 eV per atom
# Density ... 8.182 g/cm³
data_YTmGaPd
_chemical_formula_sum 'Y1 Tm1 Ga1 Pd1'
_symmetry_space_group_name_H-M 'P 1'
_symmetry_Int_Tables_number 1
_cell_length_a 4.9942
_cell_length_b 4.9942
_cell_length_c 4.9942
_cell_angle_alpha 60.00
_cell_angle_beta 60.00
_cell_angle_gamma 60.00
loop_
_symmetry_equiv_pos_as_xyz
'x,y,z'
loop_
_atom_site_label
_atom_site_type_symbol
_atom_site_fract_x
_atom_site_fract_y
_atom_site_fract_z
Y1 Y 0.0000 0.0000 0.0000
Tm1 Tm 0.5000 0.5000 0.5000
Ga1 Ga 0.2500 0.2500 0.2500
Pd1 Pd 0.7500 0.7500 0.7500

---

# La10SmDy4 | the Alexandria database | GGA-PBE | relaxed
# Space-group type ... I4/mmm, No. 139
# D(E_F) ... 23.0 states/eV per cell
# Density ... 6.787 g/cm³
# E ... -69.42 eV per cell
data_La10SmDy4
_chemical_formula_sum 'La10 Sm1 Dy4'
_symmetry_space_group_name_H-M 'P 1'
_symmetry_Int_Tables_number 1
_cell_length_a 9.1219
_cell_length_b 9.1219
_cell_length_c 9.1219
_cell_angle_alpha 100.93
_cell_angle_beta 100.93
_cell_angle_gamma 128.38
loop_
_symmetry_equiv_pos_as_xyz
'x,y,z'
loop_
_atom_site_label
_atom_site_type_symbol
_atom_site_fract_x
_atom_site_fract_y
_atom_site_fract_z
La1 La 0.0078 0.7900 0.2178
La2 La 0.2100 0.4278 0.2178
La3 La 0.2100 0.9922 0.7822
La4 La 0.2500 0.7500 0.5000
La5 La 0.4278 0.2100 0.2178
La6 La 0.5722 0.7900 0.7822
La7 La 0.7500 0.2500 0.5000
La8 La 0.7900 0.0078 0.2178
La9 La 0.7900 0.5722 0.7822
La10 La 0.9922 0.2100 0.7822
Sm1 Sm 0.5000 0.5000 0.0000
Dy1 Dy 0.2707 0.2707 0.5414
Dy2 Dy 0.2707 0.7293 0.0000
Dy3 Dy 0.7293 0.2707 0.0000
Dy4 Dy 0.7293 0.7293 0.4586

---

# Hf5PaAs4 | the Alexandria database | GGA-PBE | relaxed
# Space-group type ... C2/m, No. 12
# D(E_F) ... 8.2 states/eV per cell
# Density ... 10.577 g/cm³
# E ... -83.64 eV per cell
data_Hf5PaAs4
_chemical_formula_sum 'Hf5 Pa1 As4'
_symmetry_space_group_name_H-M 'P 1'
_symmetry_Int_Tables_number 1
_cell_length_a 8.3401
_cell_length_b 8.3401
_cell_length_c 7.7894
_cell_angle_alpha 107.95
_cell_angle_beta 107.95
_cell_angle_gamma 25.76
loop_
_symmetry_equiv_pos_as_xyz
'x,y,z'
loop_
_atom_site_label
_atom_site_type_symbol
_atom_site_fract_x
_atom_site_fract_y
_atom_site_fract_z
Hf1 Hf 0.0000 0.0000 0.0000
Hf2 Hf 0.3016 0.3016 0.1596
Hf3 Hf 0.3491 0.3491 0.6914
Hf4 Hf 0.6509 0.6509 0.3086
Hf5 Hf 0.6984 0.6984 0.8404
Pa1 Pa 0.0000 0.0000 0.5000
As1 As 0.1774 0.1774 0.5793
As2 As 0.4743 0.4743 0.2177
As3 As 0.5257 0.5257 0.7823
As4 As 0.8226 0.8226 0.4207

---

# TlSbWI2 | the Alexandria database | GGA-PBE | relaxed
# Space-group type ... P4/mmm, No. 123
# D(E_F) ... 2.1 states/eV per cell
# Offset from the most stable computed form ... 0.000 eV per atom
# Density ... 7.135 g/cm³
data_TlSbWI2
_chemical_formula_sum 'Tl1 Sb1 W1 I2'
_symmetry_space_group_name_H-M 'P 1'
_symmetry_Int_Tables_number 1
_cell_length_a 5.8221
_cell_length_b 5.8221
_cell_length_c 5.2440
_cell_angle_alpha 90.00
_cell_angle_beta 90.00
_cell_angle_gamma 90.00
loop_
_symmetry_equiv_pos_as_xyz
'x,y,z'
loop_
_atom_site_label
_atom_site_type_symbol
_atom_site_fract_x
_atom_site_fract_y
_atom_site_fract_z
Tl1 Tl 0.0000 0.0000 0.0000
Sb1 Sb 0.5000 0.5000 0.0000
W1 W 0.5000 0.5000 0.5000
I1 I 0.0000 0.5000 0.5000
I2 I 0.5000 0.0000 0.5000

---

# Tb4Pr2Tm7 | the Alexandria database | GGA-PBE | relaxed
# Space-group type ... P-31m, No. 162
# D(E_F) ... 17.3 states/eV per cell
# Density ... 8.263 g/cm³
# E ... -56.95 eV per cell
data_Tb4Pr2Tm7
_chemical_formula_sum 'Tb4 Pr2 Tm7'
_symmetry_space_group_name_H-M 'P 1'
_symmetry_Int_Tables_number 1
_cell_length_a 6.0324
_cell_length_b 6.0324
_cell_length_c 13.3912
_cell_angle_alpha 90.00
_cell_angle_beta 90.00
_cell_angle_gamma 120.00
loop_
_symmetry_equiv_pos_as_xyz
'x,y,z'
loop_
_atom_site_label
_atom_site_type_symbol
_atom_site_fract_x
_atom_site_fract_y
_atom_site_fract_z
Tb1 Tb 0.0000 0.0000 0.1049
Tb2 Tb 0.0000 0.0000 0.8951
Tb3 Tb 0.3333 0.6667 0.0000
Tb4 Tb 0.6667 0.3333 0.0000
Pr1 Pr 0.3333 0.6667 0.5000
Pr2 Pr 0.6667 0.3333 0.5000
Tm1 Tm 0.0000 0.0000 0.5000
Tm2 Tm 0.0000 0.3475 0.2855
Tm3 Tm 0.0000 0.6525 0.7145
Tm4 Tm 0.3475 0.0000 0.2855
Tm5 Tm 0.3475 0.3475 0.7145
Tm6 Tm 0.6525 0.0000 0.7145
Tm7 Tm 0.6525 0.6525 0.2855

---

# ZrFeP | the Alexandria database | GGA-PBE | relaxed
# Space-group type ... P4_122, No. 91
# D(E_F) ... 6.7 states/eV per cell
# Density ... 6.220 g/cm³
# E ... -95.62 eV per cell
data_ZrFeP
_chemical_formula_sum 'Zr4 Fe4 P4'
_symmetry_space_group_name_H-M 'P 1'
_symmetry_Int_Tables_number 1
_cell_length_a 4.1383
_cell_length_b 4.1383
_cell_length_c 11.1016
_cell_angle_alpha 90.00
_cell_angle_beta 90.00
_cell_angle_gamma 90.00
loop_
_symmetry_equiv_pos_as_xyz
'x,y,z'
loop_
_atom_site_label
_atom_site_type_symbol
_atom_site_fract_x
_atom_site_fract_y
_atom_site_fract_z
Zr1 Zr 0.0000 0.4973 0.0000
Zr2 Zr 0.0000 0.5027 0.5000
Zr3 Zr 0.4973 0.0000 0.7500
Zr4 Zr 0.5027 0.0000 0.2500
Fe1 Fe 0.0026 0.0026 0.3750
Fe2 Fe 0.0026 0.9974 0.1250
Fe3 Fe 0.9974 0.0026 0.6250
Fe4 Fe 0.9974 0.9974 0.8750
P1 P 0.0022 0.5000 0.2500
P2 P 0.5000 0.0022 0.5000
P3 P 0.5000 0.9978 0.0000
P4 P 0.9978 0.5000 0.7500

---

> Which of these has the highest density?

Hf5PaAs4

---

> Which of these has the highest density?

Hf5PaAs4

---

Please write out number 8 again, unchanged.
# ZrFeP | the Alexandria database | GGA-PBE | relaxed
# Space-group type ... P4_122, No. 91
# D(E_F) ... 6.7 states/eV per cell
# Density ... 6.220 g/cm³
# E ... -95.62 eV per cell
data_ZrFeP
_chemical_formula_sum 'Zr4 Fe4 P4'
_symmetry_space_group_name_H-M 'P 1'
_symmetry_Int_Tables_number 1
_cell_length_a 4.1383
_cell_length_b 4.1383
_cell_length_c 11.1016
_cell_angle_alpha 90.00
_cell_angle_beta 90.00
_cell_angle_gamma 90.00
loop_
_symmetry_equiv_pos_as_xyz
'x,y,z'
loop_
_atom_site_label
_atom_site_type_symbol
_atom_site_fract_x
_atom_site_fract_y
_atom_site_fract_z
Zr1 Zr 0.0000 0.4973 0.0000
Zr2 Zr 0.0000 0.5027 0.5000
Zr3 Zr 0.4973 0.0000 0.7500
Zr4 Zr 0.5027 0.0000 0.2500
Fe1 Fe 0.0026 0.0026 0.3750
Fe2 Fe 0.0026 0.9974 0.1250
Fe3 Fe 0.9974 0.0026 0.6250
Fe4 Fe 0.9974 0.9974 0.8750
P1 P 0.0022 0.5000 0.2500
P2 P 0.5000 0.0022 0.5000
P3 P 0.5000 0.9978 0.0000
P4 P 0.9978 0.5000 0.7500

---

> D(E_F) of number 3 (YTmGaPd)?

3.4 states/eV per cell